1.
5
Lattice="5.822 0.000 0.000 0.000 5.822 0.000 0.000 0.000 6.630" Properties=species:S:1:pos:R:3 comment="KRbSrAu2 (GGA-PBEsol, optimized geometry)" magnetic_moment_mub_per_cell=0.00 dft_energy_ev_per_atom=-2.16 crystal_system=tetragonal e_form_ev_per_atom=0.21 pbc="T T T"
Sr 0.000 0.000 0.000
K 0.000 0.000 3.315
Au 0.000 2.911 0.000
Au 2.911 0.000 0.000
Rb 2.911 2.911 3.315

=====

2.
4
Lattice="-3.049 -2.587 -0.040 2.582 -3.038 -0.314 0.471 2.449 5.629" Properties=species:S:1:pos:R:3 comment="K2ReAu (GGA-PBEsol, optimized geometry)" magnetic_moment_mub_per_cell=1.97 dft_energy_ev_per_atom=-3.64 crystal_system=tetragonal e_form_ev_per_atom=1.24 pbc="T T T"
Au 0.000 0.000 0.000
K -1.406 -1.475 2.706
K 1.409 -1.701 2.569
Re -0.234 -2.813 -0.177

=====

3.
6
Lattice="6.573 0.000 0.000 3.286 5.692 0.000 3.286 1.897 5.367" Properties=species:S:1:pos:R:3 comment="K4ReAu (GGA-PBEsol, optimized geometry)" magnetic_moment_mub_per_cell=3.66 dft_energy_ev_per_atom=-2.21 crystal_system=cubic e_form_ev_per_atom=1.42 pbc="T T T"
Au 0.000 0.000 0.000
K 4.918 2.839 2.008
K 6.573 3.795 4.710
K 8.228 2.839 2.008
K 6.573 5.706 2.008
Re 9.859 5.692 4.025

=====

4.
5
Lattice="5.122 0.000 0.000 0.000 5.122 0.000 0.000 0.000 5.122" Properties=species:S:1:pos:R:3 comment="KReAu3 (GGA-PBEsol, optimized geometry)" magnetic_moment_mub_per_cell=4.25 dft_energy_ev_per_atom=-2.76 crystal_system=cubic e_form_ev_per_atom=2.48 pbc="T T T"
Re 2.561 2.561 2.561
K 0.000 0.000 0.000
Au 0.000 2.561 0.000
Au 0.000 0.000 2.561
Au 2.561 0.000 0.000

=====

Please write out number 1 again, unchanged.
5
Lattice="5.822 0.000 0.000 0.000 5.822 0.000 0.000 0.000 6.630" Properties=species:S:1:pos:R:3 comment="KRbSrAu2 (GGA-PBEsol, optimized geometry)" magnetic_moment_mub_per_cell=0.00 dft_energy_ev_per_atom=-2.16 crystal_system=tetragonal e_form_ev_per_atom=0.21 pbc="T T T"
Sr 0.000 0.000 0.000
K 0.000 0.000 3.315
Au 0.000 2.911 0.000
Au 2.911 0.000 0.000
Rb 2.911 2.911 3.315